First-principles (GGA-PBE) data for Ba5InTe6 after structural relaxation, as listed in the Alexandria database.

Values from the calculation:
- Symmetry: C2/m, No. 12
- Formation energy (no corrections): -1700 kJ/mol of formula units
- DOS at the Fermi energy: 6.3 states/eV/cell
- Spin magnetization: 0.0 Bohr magnetons per cell

Cell: 8.571 8.570 8.572 Å, 60.01 80.41 70.52°
Positions (direct):
Te1 0.242 0.598 0.321
Te2 0.243 0.239 0.000
Te3 0.758 0.081 0.321
Te4 0.242 0.919 0.679
Te5 0.758 0.402 0.679
Te6 0.757 0.761 0.000
Ba1 0.000 0.666 0.667
Ba2 0.500 0.168 0.665
Ba3 0.500 0.832 0.335
Ba4 0.000 0.334 0.333
Ba5 0.500 0.500 0.000
In1 0.000 0.000 0.000